1.
A PBEsol-optimized structure of Zr2MnCl. Source: Alexandria via LeMat-Bulk, functional meta-GGA SCAN.

The structure in POSCAR format:
```
Zr2MnCl
1.0
2.151 -2.170 0.000
2.151 2.170 0.000
0.000 0.000 7.460
Zr Mn Cl
2 1 1
direct
0.000 0.000 0.210
0.000 0.000 0.790
0.500 0.500 0.000
0.500 0.500 0.500
```

## Properties
- total DFT energy (no corrections) (eV per atom) = -22.408
- mass density (kg/m³) = 6506
- DOS(E_F) (states/eV/f.u.) = 1.93



2.
A PBEsol-optimized structure of Li2PtBr. Source: Alexandria via LeMat-Bulk, functional meta-GGA SCAN.

The structure in POSCAR format:
```
Li2PtBr
1.0
-3.484 3.484 2.729
3.484 -3.484 2.729
3.484 3.484 -2.729
Li Pt Br
4 2 2
direct
0.122 0.625 0.997
0.375 0.372 0.497
0.628 0.125 0.003
0.875 0.878 0.503
0.250 0.750 0.500
0.500 0.500 0.000
0.000 0.000 0.000
0.750 0.250 0.500
```

## Properties
- total DFT energy (no corrections) (eV per atom) = -24.090
- mass density (kg/m³) = 7241
- DOS(E_F) (states/eV/f.u.) = 0.57



3.
A PBEsol-optimized structure of ZrCuSCl2. Source: Alexandria via LeMat-Bulk, functional meta-GGA SCAN.

The structure in POSCAR format:
```
ZrCuSCl2
1.0
4.915 0.000 0.000
0.000 4.915 0.000
0.000 0.000 4.922
Zr Cu S Cl
1 1 1 2
direct
0.000 0.000 0.000
0.500 0.500 0.500
0.000 0.000 0.500
0.000 0.500 0.000
0.500 0.000 0.000
```

## Properties
- total DFT energy (no corrections) (eV per atom) = -15.001
- mass density (kg/m³) = 3600
- DOS(E_F) (states/eV/f.u.) = 2.62



4.
A PBEsol-optimized structure of RbSr3Hg. Source: Alexandria via LeMat-Bulk, functional meta-GGA SCAN.

The structure in POSCAR format:
```
RbSr3Hg
1.0
7.338 0.000 0.000
0.000 7.338 0.000
0.000 0.000 7.338
Rb Sr Hg
1 3 1
direct
0.000 0.000 0.000
0.000 0.000 0.500
0.000 0.500 0.000
0.500 0.000 0.000
0.500 0.500 0.500
```

## Properties
- total DFT energy (no corrections) (eV per atom) = -30.291
- mass density (kg/m³) = 2307
- DOS(E_F) (states/eV/f.u.) = 7.74



5.
A PBEsol-optimized structure of ZnFeNi2. Source: Alexandria via LeMat-Bulk, functional meta-GGA SCAN.

The structure in POSCAR format:
```
ZnFeNi2
1.0
-1.750 1.750 3.647
1.750 -1.750 3.647
1.750 1.750 -3.647
Zn Fe Ni
1 1 2
direct
0.000 0.000 0.000
0.750 0.250 0.500
0.250 0.750 0.500
0.500 0.500 0.000
```

## Properties
- total DFT energy (no corrections) (eV per atom) = -16.107
- mass density (kg/m³) = 8874
- DOS(E_F) (states/eV/f.u.) = 2.79



6.
A PBEsol-optimized structure of SrBeHg2. Source: Alexandria via LeMat-Bulk, functional meta-GGA SCAN.

The structure in POSCAR format:
```
SrBeHg2
1.0
-2.243 2.769 3.827
2.243 -2.769 3.827
2.243 2.769 -3.827
Sr Be Hg
1 1 2
direct
0.000 0.000 0.000
0.336 0.836 0.500
0.422 0.422 0.000
0.699 0.199 0.500
```

## Properties
- total DFT energy (no corrections) (eV per atom) = -40.834
- mass density (kg/m³) = 8695
- DOS(E_F) (states/eV/f.u.) = 1.27



7.
A PBEsol-optimized structure of KIrSeN2. Source: Alexandria via LeMat-Bulk, functional meta-GGA SCAN.

The structure in POSCAR format:
```
KIrSeN2
1.0
4.082 0.000 0.000
0.000 4.082 0.000
0.000 0.000 5.932
K Ir Se N
1 1 1 2
direct
0.000 0.000 0.000
0.500 0.500 0.500
0.000 0.000 0.500
0.000 0.500 0.000
0.500 0.000 0.000
```

## Properties
- total DFT energy (no corrections) (eV per atom) = -20.589
- mass density (kg/m³) = 5683
- DOS(E_F) (states/eV/f.u.) = 3.74



8.
A PBEsol-optimized structure of TaInNi2. Source: Alexandria via LeMat-Bulk, functional meta-GGA SCAN.

The structure in POSCAR format:
```
TaInNi2
1.0
3.125 0.000 0.000
0.000 3.125 0.000
0.000 0.000 6.043
Ta In Ni
1 1 2
direct
0.000 0.000 0.000
0.000 0.000 0.500
0.500 0.500 0.217
0.500 0.500 0.783
```

## Properties
- total DFT energy (no corrections) (eV per atom) = -33.255
- mass density (kg/m³) = 11626
- DOS(E_F) (states/eV/f.u.) = 1.51



9.
A PBEsol-optimized structure of NaAlPS2. Source: Alexandria via LeMat-Bulk, functional meta-GGA SCAN.

The structure in POSCAR format:
```
NaAlPS2
1.0
4.778 0.000 0.000
0.000 4.778 0.000
0.000 0.000 4.759
Na Al P S
1 1 1 2
direct
0.000 0.000 0.000
0.500 0.500 0.500
0.000 0.000 0.500
0.000 0.500 0.000
0.500 0.000 0.000
```

## Properties
- total DFT energy (no corrections) (eV per atom) = -7.225
- mass density (kg/m³) = 2217
- DOS(E_F) (states/eV/f.u.) = 5.89



10.
A PBEsol-optimized structure of CdInAg2. Source: Alexandria via LeMat-Bulk, functional meta-GGA SCAN.

The structure in POSCAR format:
```
CdInAg2
1.0
1.531 0.884 9.303
-1.531 0.884 9.303
0.000 -1.767 9.303
Cd In Ag
1 1 2
direct
0.000 0.000 0.000
0.500 0.500 0.500
0.251 0.251 0.251
0.749 0.749 0.749
```

## Properties
- total DFT energy (no corrections) (eV per atom) = -31.612
- mass density (kg/m³) = 9743
- DOS(E_F) (states/eV/f.u.) = 1.14



11.
A PBEsol-optimized structure of Ca2LaNi2. Source: Alexandria via LeMat-Bulk, functional meta-GGA SCAN.

The structure in POSCAR format:
```
Ca2LaNi2
1.0
7.118 0.000 0.000
0.000 7.118 0.000
0.000 0.000 4.554
Ca La Ni
4 2 4
direct
0.165 0.335 0.000
0.335 0.835 0.000
0.665 0.165 0.000
0.835 0.665 0.000
0.000 0.000 0.500
0.500 0.500 0.500
0.115 0.615 0.500
0.385 0.115 0.500
0.615 0.885 0.500
0.885 0.385 0.500
```

## Properties
- total DFT energy (no corrections) (eV per atom) = -19.022
- mass density (kg/m³) = 4844
- DOS(E_F) (states/eV/f.u.) = 3.43



12.
A PBEsol-optimized structure of SrCd2H16Br6O8. Source: Alexandria via LeMat-Bulk, functional meta-GGA SCAN.

The structure in POSCAR format:
```
SrCd2H16Br6O8
1.0
4.081 0.000 0.000
0.000 24.278 0.000
0.000 0.000 8.649
Sr Cd H Br O
2 4 32 12 16
direct
0.000 0.000 0.194
0.500 0.500 0.806
0.042 0.698 0.353
0.458 0.198 0.647
0.542 0.802 0.647
0.958 0.302 0.353
0.002 0.400 0.744
0.009 0.468 0.083
0.015 0.092 0.906
0.019 0.686 0.869
0.034 0.436 0.589
0.104 0.027 0.559
0.210 0.883 0.044
0.221 0.632 0.929
0.279 0.132 0.071
0.290 0.383 0.956
0.396 0.527 0.441
0.466 0.936 0.411
0.481 0.186 0.131
0.485 0.592 0.094
0.491 0.968 0.917
0.498 0.900 0.256
0.502 0.100 0.256
0.509 0.032 0.917
0.515 0.408 0.094
0.519 0.814 0.131
0.534 0.064 0.411
0.604 0.473 0.441
0.710 0.617 0.956
0.721 0.868 0.071
0.779 0.368 0.929
0.790 0.117 0.044
0.896 0.973 0.559
0.966 0.564 0.589
0.981 0.314 0.869
0.985 0.908 0.906
0.991 0.532 0.083
0.998 0.600 0.744
0.041 0.780 0.848
0.042 0.813 0.428
0.059 0.586 0.303
0.441 0.086 0.697
0.458 0.313 0.572
0.459 0.280 0.152
0.541 0.720 0.152
0.542 0.687 0.572
0.559 0.914 0.697
0.941 0.414 0.303
0.958 0.187 0.428
0.959 0.220 0.848
0.000 0.000 0.489
0.000 0.500 0.011
0.005 0.439 0.701
0.009 0.646 0.881
0.014 0.908 0.019
0.486 0.408 0.981
0.491 0.146 0.119
0.495 0.939 0.299
0.500 0.000 0.989
0.500 0.500 0.511
0.505 0.061 0.299
0.509 0.854 0.119
0.514 0.592 0.981
0.986 0.092 0.019
0.991 0.354 0.881
0.995 0.561 0.701
```

## Properties
- total DFT energy (no corrections) (eV per atom) = -10.417
- mass density (kg/m³) = 3627
- DOS(E_F) (states/eV/f.u.) = 0.00



13.
A PBEsol-optimized structure of Y2Cr3O12. Source: Alexandria via LeMat-Bulk, functional meta-GGA SCAN.

The structure in POSCAR format:
```
Y2Cr3O12
1.0
0.000 5.033 15.071
3.084 0.000 15.071
3.084 5.033 0.000
Y Cr O
4 6 24
direct
0.045 0.045 0.705
0.295 0.295 0.955
0.705 0.705 0.045
0.955 0.955 0.295
0.125 0.125 0.125
0.211 0.211 0.539
0.461 0.461 0.789
0.539 0.539 0.211
0.789 0.789 0.461
0.875 0.875 0.875
0.037 0.149 0.402
0.071 0.568 0.356
0.089 0.598 0.851
0.149 0.037 0.911
0.162 0.320 0.772
0.228 0.754 0.838
0.246 0.772 0.320
0.320 0.162 0.246
0.356 0.505 0.071
0.402 0.911 0.037
0.432 0.929 0.495
0.495 0.644 0.432
0.505 0.356 0.568
0.568 0.071 0.505
0.598 0.089 0.963
0.644 0.495 0.929
0.680 0.838 0.754
0.754 0.228 0.680
0.772 0.246 0.162
0.838 0.680 0.228
0.851 0.963 0.089
0.911 0.402 0.149
0.929 0.432 0.644
0.963 0.851 0.598
```

## Properties
- total DFT energy (no corrections) (eV per atom) = -13.445
- mass density (kg/m³) = 3732
- DOS(E_F) (states/eV/f.u.) = 0.00



14.
A PBEsol-optimized structure of Hg2TePt. Source: Alexandria via LeMat-Bulk, functional meta-GGA SCAN.

The structure in POSCAR format:
```
Hg2TePt
1.0
0.000 3.467 3.467
3.467 0.000 3.467
3.467 3.467 0.000
Hg Te Pt
2 1 1
direct
0.000 0.000 0.000
0.250 0.250 0.250
0.750 0.750 0.750
0.500 0.500 0.500
```

## Properties
- total DFT energy (no corrections) (eV per atom) = -60.629
- mass density (kg/m³) = 14419
- DOS(E_F) (states/eV/f.u.) = 1.36



15.
A PBEsol-optimized structure of SrLaSe2N. Source: Alexandria via LeMat-Bulk, functional meta-GGA SCAN.

The structure in POSCAR format:
```
SrLaSe2N
1.0
5.548 0.000 0.000
0.000 5.548 0.000
0.000 0.000 4.511
Sr La Se N
1 1 2 1
direct
0.000 0.000 0.000
0.500 0.500 0.500
0.000 0.500 0.000
0.500 0.000 0.000
0.000 0.000 0.500
```

## Properties
- total DFT energy (no corrections) (eV per atom) = -23.487
- mass density (kg/m³) = 4765
- DOS(E_F) (states/eV/f.u.) = 2.06



16.
A PBEsol-optimized structure of MgRe2AgB. Source: Alexandria via LeMat-Bulk, functional meta-GGA SCAN.

The structure in POSCAR format:
```
MgRe2AgB
1.0
4.580 0.000 0.000
0.000 4.580 0.000
0.000 0.000 4.385
Mg Re Ag B
1 2 1 1
direct
0.000 0.000 0.000
0.000 0.500 0.000
0.500 0.000 0.000
0.000 0.000 0.500
0.500 0.500 0.500
```

## Properties
- total DFT energy (no corrections) (eV per atom) = -34.043
- mass density (kg/m³) = 9305
- DOS(E_F) (states/eV/f.u.) = 2.73



17.
A PBEsol-optimized structure of Ru3CN. Source: Alexandria via LeMat-Bulk, functional meta-GGA SCAN.

The structure in POSCAR format:
```
Ru3CN
1.0
3.899 0.000 0.000
0.000 3.899 0.000
0.000 0.000 3.899
Ru C N
3 1 1
direct
0.000 0.000 0.500
0.000 0.500 0.000
0.500 0.000 0.000
0.500 0.500 0.500
0.000 0.000 0.000
```

## Properties
- total DFT energy (no corrections) (eV per atom) = -23.294
- mass density (kg/m³) = 9226
- DOS(E_F) (states/eV/f.u.) = 4.86



18.
A PBEsol-optimized structure of PbIBr2. Source: Alexandria via LeMat-Bulk, functional meta-GGA SCAN.

The structure in POSCAR format:
```
PbIBr2
1.0
1.978 1.142 11.745
-1.978 1.142 11.745
0.000 -2.284 11.745
Pb I Br
1 1 2
direct
0.000 0.000 0.000
0.500 0.500 0.500
0.388 0.388 0.388
0.612 0.612 0.612
```

## Properties
- total DFT energy (no corrections) (eV per atom) = -38.292
- mass density (kg/m³) = 5151
- DOS(E_F) (states/eV/f.u.) = 2.45



19.
A PBEsol-optimized structure of LaMn4Bi3O12. Source: Alexandria via LeMat-Bulk, functional meta-GGA SCAN.

The structure in POSCAR format:
```
LaMn4Bi3O12
1.0
5.425 0.000 0.000
0.000 7.733 0.000
-0.041 0.000 5.580
La Mn Bi O
1 4 3 12
direct
0.000 0.000 0.000
0.008 0.251 0.543
0.008 0.749 0.543
0.510 0.251 0.043
0.510 0.749 0.043
0.021 0.500 0.097
0.501 0.500 0.597
0.519 0.000 0.493
0.094 0.000 0.560
0.213 0.292 0.839
0.213 0.708 0.839
0.301 0.292 0.336
0.301 0.708 0.336
0.440 0.000 0.062
0.594 0.500 0.017
0.715 0.207 0.748
0.715 0.793 0.748
0.802 0.213 0.251
0.802 0.787 0.251
0.925 0.500 0.523
```

## Properties
- total DFT energy (no corrections) (eV per atom) = -23.335
- mass density (kg/m³) = 8354
- DOS(E_F) (states/eV/f.u.) = 2.67



20.
A PBEsol-optimized structure of ScReIr2. Source: Alexandria via LeMat-Bulk, functional meta-GGA SCAN.

The structure in POSCAR format:
```
ScReIr2
1.0
0.000 3.134 3.134
3.134 0.000 3.134
3.134 3.134 0.000
Sc Re Ir
1 1 2
direct
0.000 0.000 0.000
0.500 0.500 0.500
0.250 0.250 0.250
0.750 0.750 0.750
```

## Properties
- total DFT energy (no corrections) (eV per atom) = -57.016
- mass density (kg/m³) = 16604
- DOS(E_F) (states/eV/f.u.) = 4.23